4
Lattice="-2.3660 2.3660 6.3629 2.3660 -2.3660 6.3629 2.3660 2.3660 -6.3629" Properties=species:S:1:pos:R:3 comment="K2OsBr | Alexandria | PBE | optimized geometry" relative_energy_mev_per_atom=281 density_g_cm3=4.1 sg=I-4m2 e_form_raw_ev_per_atom=0.755 total_magnetization_mub_per_fu=3.00 dft_energy_ry_per_atom=-0.22193 pbc="T T T"
K 0.0000 0.0000 0.0000
K 0.0000 2.3660 3.1815
Os 2.3660 0.0000 3.1815
Br 0.0000 0.0000 6.3629